(1)
Tb3Sc4Al4 | PBE | relaxed

extended XYZ file:
```
11
Lattice="-3.081 3.326 -1.910 -3.229 -4.907 -3.340 -1.736 -0.194 8.800" Properties=species:S:1:pos:R:3 pbc="T T T"
Tb -1.094 -0.220 1.381
Tb -6.952 -1.555 2.169
Tb -1.614 -2.454 -1.670
Sc -2.421 0.459 4.706
Sc -4.188 -0.052 0.330
Sc -5.624 -2.235 -1.156
Sc -3.857 -1.723 3.221
Al -3.447 -2.823 0.643
Al -4.599 1.047 2.907
Al -4.124 -2.264 -3.628
Al -2.185 0.683 -1.622
```

Summary:
Crystal system: orthorhombic
VASP energy, eV per formula unit: -56.86
ΔE_f, kJ per mole of atoms: -23.5

---

(2)
Tb8Sc2Al | PBE | relaxed

extended XYZ file:
```
11
Lattice="-4.159 1.011 3.027 -4.883 -2.554 -5.857 4.637 -6.459 3.991" Properties=species:S:1:pos:R:3 pbc="T T T"
Tb -0.794 -6.055 0.932
Tb -5.652 -3.815 -1.952
Tb -4.225 -5.524 0.580
Tb -0.918 -5.904 5.252
Tb -0.180 -2.478 0.581
Tb 1.247 -4.187 3.113
Tb -3.611 -1.947 0.229
Tb -3.487 -2.098 -4.091
Sc -2.247 -3.979 2.782
Sc -2.158 -4.024 -1.621
Al -2.080 0.506 1.513
```

Summary:
Crystal system: monoclinic
VASP energy, eV per formula unit: -53.24
ΔE_f, kJ per mole of atoms: 1.9